(1)
{"formula": "MnCdMoOs2", "functional": "PBE", "state": "relaxed", "lattice": [[-4.155, 1.797, -1.473], [1.177, -0.996, -4.532], [-2.008, -4.296, 0.422]], "species": ["Mo", "Mn", "Os", "Os", "Cd"], "frac_coords": [[0.000, 0.500, 0.000], [0.500, 0.500, 0.500], [0.000, 0.000, 0.500], [0.500, 0.000, 0.000], [0.000, 0.000, 0.000]], "m_tot_mub_per_atom": 0.0851, "crystal_system": "tetragonal", "n_ef_per_ev_atom": 1.681, "e_form_ev_per_atom": 3.31}



(2)
{"formula": "AlGe2Se", "functional": "PBE", "state": "relaxed", "lattice": [[3.457, -3.061, 1.271], [1.409, -0.257, 4.570], [-1.067, -3.863, 2.621]], "species": ["Ge", "Ge", "Al", "Se"], "frac_coords": [[0.250, 0.250, 0.250], [0.750, 0.750, 0.750], [0.000, 0.000, 0.000], [0.500, 0.500, 0.500]], "m_tot_mub_per_atom": 0.0000, "e_form_raw_ev_per_atom": 0.30, "crystal_system": "cubic", "n_ef_per_ev_atom": 0.413}



(3)
{"formula": "LaZrNi4", "functional": "PBE", "state": "relaxed", "lattice": [[0.000, 3.586, 3.586], [3.586, 0.000, 3.586], [3.586, 3.586, 0.000]], "species": ["La", "Zr", "Ni", "Ni", "Ni", "Ni"], "frac_coords": [[0.000, 0.000, 0.000], [0.750, 0.750, 0.750], [0.872, 0.376, 0.376], [0.376, 0.376, 0.872], [0.376, 0.872, 0.376], [0.376, 0.376, 0.376]], "m_tot_mub_per_atom": 0.0000, "crystal_system": "cubic", "n_ef_per_ev_atom": 0.633, "e_form_ev_per_atom": -0.27}



(4)
{"formula": "Pm12PuPb6", "functional": "PBE", "state": "relaxed", "lattice": [[8.903, -0.078, -0.094], [-1.427, 8.788, -0.094], [-1.427, -1.663, 8.630]], "species": ["Pm", "Pm", "Pm", "Pm", "Pm", "Pm", "Pm", "Pm", "Pm", "Pm", "Pm", "Pm", "Pu", "Pb", "Pb", "Pb", "Pb", "Pb", "Pb"], "frac_coords": [[0.804, 0.580, 0.445], [0.445, 0.804, 0.580], [0.580, 0.445, 0.804], [0.196, 0.420, 0.555], [0.555, 0.196, 0.420], [0.420, 0.555, 0.196], [0.056, 0.991, 0.322], [0.009, 0.678, 0.944], [0.678, 0.944, 0.009], [0.944, 0.009, 0.678], [0.991, 0.322, 0.056], [0.322, 0.056, 0.991], [0.000, 0.000, 0.000], [0.684, 0.879, 0.353], [0.647, 0.316, 0.121], [0.121, 0.647, 0.316], [0.316, 0.121, 0.647], [0.353, 0.684, 0.879], [0.879, 0.353, 0.684]], "m_tot_mub_per_atom": 0.3027, "crystal_system": "trigonal", "n_ef_per_ev_atom": 1.018, "e_form_ev_per_atom": -0.11}